[1]
# ErPaMnSe6 | Alexandria | PBE | optimized geometry
# * DOS(E_F): 1.97 states/eV per cell
# * formation energy from raw total energies: -0.97 eV/atom
# * space-group type: P312 (149)
data_ErPaMnSe6
_cell_length_a 6.198
_cell_length_b 6.672
_cell_length_c 6.672
_cell_angle_alpha 120.00
_cell_angle_beta 90.00
_cell_angle_gamma 90.00
_space_group_name_H-M_alt 'P 1'
_space_group_IT_number 1
_space_group_name_Hall 'P 1'
loop_
_atom_site_label
_atom_site_type_symbol
_atom_site_fract_x
_atom_site_fract_y
_atom_site_fract_z
Er1 Er 0.500 0.667 0.333
Se1 Se 0.259 0.690 0.991
Se2 Se 0.741 0.301 0.991
Mn1 Mn 0.500 0.000 0.000
Pa1 Pa 0.000 0.333 0.667
Se3 Se 0.259 0.301 0.310
Se4 Se 0.741 0.009 0.310
Se5 Se 0.259 0.009 0.699
Se6 Se 0.741 0.690 0.699

***

[2]
# ErMnPb | Alexandria | PBE | optimized geometry
# * DOS(E_F): 3.56 states/eV per cell
# * space-group type: R-3m (166)
# * E_form: -0.093 eV/atom
data_ErMnPb
_cell_length_a 3.783
_cell_length_b 3.783
_cell_length_c 11.834
_cell_angle_alpha 80.80
_cell_angle_beta 80.80
_cell_angle_gamma 60.00
_space_group_name_H-M_alt 'P 1'
_space_group_IT_number 1
_space_group_name_Hall 'P 1'
loop_
_atom_site_label
_atom_site_type_symbol
_atom_site_fract_x
_atom_site_fract_y
_atom_site_fract_z
Mn1 Mn 0.836 0.836 0.493
Pb1 Pb 0.701 0.701 0.898
Pb2 Pb 0.299 0.299 0.102
Mn2 Mn 0.164 0.164 0.507
Er1 Er 0.557 0.557 0.329
Er2 Er 0.443 0.443 0.671

***

[3]
# ErMnPd2 | Alexandria | PBE | optimized geometry
# * DOS(E_F): 2.76 states/eV per cell
# * space-group type: P4/mmm (123)
# * distance to the lowest polymorph of the same formula: 0 meV/atom
# * E_form: -0.564 eV/atom
data_ErMnPd2
_cell_length_a 3.816
_cell_length_b 4.289
_cell_length_c 4.289
_cell_angle_alpha 90.00
_cell_angle_beta 90.00
_cell_angle_gamma 90.00
_space_group_name_H-M_alt 'P 1'
_space_group_IT_number 1
_space_group_name_Hall 'P 1'
loop_
_atom_site_label
_atom_site_type_symbol
_atom_site_fract_x
_atom_site_fract_y
_atom_site_fract_z
Pd1 Pd 0.000 0.000 0.500
Mn1 Mn 0.500 0.500 0.500
Pd2 Pd 0.000 0.500 0.000
Er1 Er 0.500 0.000 0.000

***

[4]
# ErMn2Pd8 | Alexandria | PBE | optimized geometry
# * DOS(E_F): 4.68 states/eV per cell
# * space-group type: C2/m (12)
# * E_form: -0.430 eV/atom
data_ErMn2Pd8
_cell_length_a 4.065
_cell_length_b 6.352
_cell_length_c 7.406
_cell_angle_alpha 105.87
_cell_angle_beta 105.93
_cell_angle_gamma 90.00
_space_group_name_H-M_alt 'P 1'
_space_group_IT_number 1
_space_group_name_Hall 'P 1'
loop_
_atom_site_label
_atom_site_type_symbol
_atom_site_fract_x
_atom_site_fract_y
_atom_site_fract_z
Pd1 Pd 0.855 0.797 0.710
Pd2 Pd 0.599 0.467 0.198
Pd3 Pd 0.401 0.533 0.802
Pd4 Pd 0.955 0.278 0.909
Mn1 Mn 0.775 0.347 0.550
Er1 Er 0.500 0.000 0.000
Mn2 Mn 0.225 0.653 0.450
Pd5 Pd 0.045 0.722 0.091
Pd6 Pd 0.317 0.083 0.634
Pd7 Pd 0.145 0.203 0.290
Pd8 Pd 0.683 0.917 0.366

***

[5]
# Er4MnPd15 | Alexandria | PBE | optimized geometry
# * DOS(E_F): 15.53 states/eV per cell
# * space-group type: P4/mmm (123)
# * E_form: -0.759 eV/atom
data_Er4MnPd15
_cell_length_a 4.070
_cell_length_b 4.070
_cell_length_c 20.309
_cell_angle_alpha 90.00
_cell_angle_beta 90.00
_cell_angle_gamma 90.00
_space_group_name_H-M_alt 'P 1'
_space_group_IT_number 1
_space_group_name_Hall 'P 1'
loop_
_atom_site_label
_atom_site_type_symbol
_atom_site_fract_x
_atom_site_fract_y
_atom_site_fract_z
Mn1 Mn 0.000 0.000 0.000
Pd1 Pd 0.500 0.500 0.398
Pd2 Pd 0.500 0.500 0.194
Pd3 Pd 0.000 0.500 0.908
Er1 Er 0.000 0.000 0.602
Pd4 Pd 0.000 0.500 0.092
Pd5 Pd 0.500 0.500 0.602
Er2 Er 0.000 0.000 0.398
Pd6 Pd 0.000 0.500 0.704
Pd7 Pd 0.500 0.000 0.500
Pd8 Pd 0.500 0.000 0.092
Er3 Er 0.000 0.000 0.806
Pd9 Pd 0.500 0.000 0.296
Pd10 Pd 0.500 0.000 0.704
Pd11 Pd 0.000 0.500 0.296
Er4 Er 0.000 0.000 0.194
Pd12 Pd 0.500 0.500 0.806
Pd13 Pd 0.500 0.000 0.908
Pd14 Pd 0.000 0.500 0.500
Pd15 Pd 0.500 0.500 0.000

***

[6]
# ErMnPd14 | Alexandria | PBE | optimized geometry
# * DOS(E_F): 26.46 states/eV per cell
# * space-group type: P4/mmm (123)
# * E_form: -0.262 eV/atom
data_ErMnPd14
_cell_length_a 5.639
_cell_length_b 5.639
_cell_length_c 7.953
_cell_angle_alpha 90.00
_cell_angle_beta 90.00
_cell_angle_gamma 90.00
_space_group_name_H-M_alt 'P 1'
_space_group_IT_number 1
_space_group_name_Hall 'P 1'
loop_
_atom_site_label
_atom_site_type_symbol
_atom_site_fract_x
_atom_site_fract_y
_atom_site_fract_z
Pd1 Pd 0.375 0.875 0.500
Pd2 Pd 0.622 0.622 0.249
Pd3 Pd 0.375 0.875 0.000
Pd4 Pd 0.128 0.622 0.249
Pd5 Pd 0.622 0.128 0.751
Pd6 Pd 0.128 0.128 0.751
Pd7 Pd 0.622 0.128 0.249
Pd8 Pd 0.875 0.875 0.000
Mn1 Mn 0.375 0.375 0.500
Pd9 Pd 0.128 0.128 0.249
Pd10 Pd 0.128 0.622 0.751
Pd11 Pd 0.622 0.622 0.751
Pd12 Pd 0.875 0.375 0.000
Pd13 Pd 0.875 0.375 0.500
Pd14 Pd 0.375 0.375 0.000
Er1 Er 0.875 0.875 0.500

***

[7]
# ErMnPd6 | Alexandria | PBE | optimized geometry
# * DOS(E_F): 4.74 states/eV per cell
# * space-group type: C2/m (12)
# * distance to the lowest polymorph of the same formula: 320 meV/atom
# * E_form: -0.217 eV/atom
data_ErMnPd6
_cell_length_a 4.880
_cell_length_b 4.880
_cell_length_c 7.245
_cell_angle_alpha 73.75
_cell_angle_beta 73.75
_cell_angle_gamma 66.28
_space_group_name_H-M_alt 'P 1'
_space_group_IT_number 1
_space_group_name_Hall 'P 1'
loop_
_atom_site_label
_atom_site_type_symbol
_atom_site_fract_x
_atom_site_fract_y
_atom_site_fract_z
Mn1 Mn 0.000 0.000 0.000
Pd1 Pd 0.550 0.063 0.294
Pd2 Pd 0.937 0.450 0.706
Er1 Er 0.500 0.500 0.500
Pd3 Pd 0.643 0.643 0.063
Pd4 Pd 0.357 0.357 0.937
Pd5 Pd 0.450 0.937 0.706
Pd6 Pd 0.063 0.550 0.294

***

[8]
# Er3MnPd12 | Alexandria | PBE | optimized geometry
# * DOS(E_F): 13.88 states/eV per cell
# * space-group type: P4/mmm (123)
# * E_form: -0.720 eV/atom
data_Er3MnPd12
_cell_length_a 4.068
_cell_length_b 4.068
_cell_length_c 16.167
_cell_angle_alpha 90.00
_cell_angle_beta 90.00
_cell_angle_gamma 90.00
_space_group_name_H-M_alt 'P 1'
_space_group_IT_number 1
_space_group_name_Hall 'P 1'
loop_
_atom_site_label
_atom_site_type_symbol
_atom_site_fract_x
_atom_site_fract_y
_atom_site_fract_z
Er1 Er 0.000 0.000 0.756
Pd1 Pd 0.500 0.500 0.500
Mn1 Mn 0.000 0.000 0.000
Pd2 Pd 0.000 0.500 0.372
Pd3 Pd 0.500 0.000 0.628
Er2 Er 0.000 0.000 0.500
Pd4 Pd 0.500 0.500 0.244
Pd5 Pd 0.500 0.500 0.756
Pd6 Pd 0.500 0.500 0.000
Pd7 Pd 0.500 0.000 0.372
Er3 Er 0.000 0.000 0.244
Pd8 Pd 0.000 0.500 0.628
Pd9 Pd 0.000 0.500 0.116
Pd10 Pd 0.500 0.000 0.884
Pd11 Pd 0.000 0.500 0.884
Pd12 Pd 0.500 0.000 0.116

***

[9]
# ErMnPd2 | Alexandria | PBE | optimized geometry
# * DOS(E_F): 1.25 states/eV per cell
# * space-group type: P4/mmm (123)
# * distance to the lowest polymorph of the same formula: 28 meV/atom
# * E_form: -0.537 eV/atom
data_ErMnPd2
_cell_length_a 3.335
_cell_length_b 3.335
_cell_length_c 6.480
_cell_angle_alpha 90.00
_cell_angle_beta 90.00
_cell_angle_gamma 90.00
_space_group_name_H-M_alt 'P 1'
_space_group_IT_number 1
_space_group_name_Hall 'P 1'
loop_
_atom_site_label
_atom_site_type_symbol
_atom_site_fract_x
_atom_site_fract_y
_atom_site_fract_z
Pd1 Pd 0.000 0.000 0.226
Pd2 Pd 0.000 0.000 0.774
Mn1 Mn 0.500 0.500 0.000
Er1 Er 0.500 0.500 0.500

***

[10]
# Er2MnPd6 | Alexandria | PBE | optimized geometry
# * DOS(E_F): 3.88 states/eV per cell
# * space-group type: C2/m (12)
# * E_form: -0.421 eV/atom
data_Er2MnPd6
_cell_length_a 3.390
_cell_length_b 7.724
_cell_length_c 7.866
_cell_angle_alpha 119.40
_cell_angle_beta 102.10
_cell_angle_gamma 90.00
_space_group_name_H-M_alt 'P 1'
_space_group_IT_number 1
_space_group_name_Hall 'P 1'
loop_
_atom_site_label
_atom_site_type_symbol
_atom_site_fract_x
_atom_site_fract_y
_atom_site_fract_z
Er1 Er 0.346 0.343 0.687
Mn1 Mn 0.000 0.000 0.000
Pd1 Pd 0.500 0.747 0.000
Er2 Er 0.654 0.657 0.313
Pd2 Pd 0.500 0.253 0.000
Pd3 Pd 0.165 0.372 0.332
Pd4 Pd 0.835 0.628 0.668
Pd5 Pd 0.165 0.960 0.332
Pd6 Pd 0.835 0.040 0.668

***

[11]
# Er2MnPd8 | Alexandria | PBE | optimized geometry
# * DOS(E_F): 4.18 states/eV per cell
# * space-group type: C2/m (12)
# * E_form: -0.549 eV/atom
data_Er2MnPd8
_cell_length_a 4.515
_cell_length_b 6.143
_cell_length_c 7.866
_cell_angle_alpha 112.07
_cell_angle_beta 106.68
_cell_angle_gamma 90.00
_space_group_name_H-M_alt 'P 1'
_space_group_IT_number 1
_space_group_name_Hall 'P 1'
loop_
_atom_site_label
_atom_site_type_symbol
_atom_site_fract_x
_atom_site_fract_y
_atom_site_fract_z
Pd1 Pd 0.364 0.134 0.727
Pd2 Pd 0.170 0.172 0.339
Er1 Er 0.197 0.692 0.394
Pd3 Pd 0.636 0.866 0.273
Pd4 Pd 0.002 0.737 0.005
Pd5 Pd 0.830 0.828 0.661
Pd6 Pd 0.998 0.263 0.995
Mn1 Mn 0.500 0.000 0.000
Pd7 Pd 0.630 0.407 0.260
Er2 Er 0.803 0.308 0.606
Pd8 Pd 0.370 0.593 0.740

***

[12]
# ErMn2Pd9 | Alexandria | PBE | optimized geometry
# * DOS(E_F): 13.05 states/eV per cell
# * space-group type: P4/mmm (123)
# * E_form: -0.433 eV/atom
data_ErMn2Pd9
_cell_length_a 3.999
_cell_length_b 3.999
_cell_length_c 11.869
_cell_angle_alpha 90.00
_cell_angle_beta 90.00
_cell_angle_gamma 90.00
_space_group_name_H-M_alt 'P 1'
_space_group_IT_number 1
_space_group_name_Hall 'P 1'
loop_
_atom_site_label
_atom_site_type_symbol
_atom_site_fract_x
_atom_site_fract_y
_atom_site_fract_z
Pd1 Pd 0.500 0.500 0.338
Pd2 Pd 0.500 0.500 0.000
Pd3 Pd 0.000 0.500 0.500
Pd4 Pd 0.000 0.500 0.822
Er1 Er 0.000 0.000 0.000
Pd5 Pd 0.500 0.000 0.500
Mn1 Mn 0.000 0.000 0.340
Pd6 Pd 0.000 0.500 0.178
Pd7 Pd 0.500 0.500 0.662
Pd8 Pd 0.500 0.000 0.822
Mn2 Mn 0.000 0.000 0.660
Pd9 Pd 0.500 0.000 0.178

***

[13]
# ErMnPd2 | Alexandria | PBE | optimized geometry
# * DOS(E_F): 2.72 states/eV per cell
# * space-group type: Fm-3m (225)
# * distance to the lowest polymorph of the same formula: 9 meV/atom
# * E_form: -0.555 eV/atom
data_ErMnPd2
_cell_length_a 4.682
_cell_length_b 4.682
_cell_length_c 4.682
_cell_angle_alpha 60.00
_cell_angle_beta 60.00
_cell_angle_gamma 60.00
_space_group_name_H-M_alt 'P 1'
_space_group_IT_number 1
_space_group_name_Hall 'P 1'
loop_
_atom_site_label
_atom_site_type_symbol
_atom_site_fract_x
_atom_site_fract_y
_atom_site_fract_z
Mn1 Mn 0.500 0.500 0.500
Er1 Er 0.000 0.000 0.000
Pd1 Pd 0.750 0.750 0.750
Pd2 Pd 0.250 0.250 0.250

***

[14]
# ErMnPd6 | Alexandria | PBE | optimized geometry
# * DOS(E_F): 9.10 states/eV per cell
# * space-group type: P4/mmm (123)
# * distance to the lowest polymorph of the same formula: 0 meV/atom
# * E_form: -0.538 eV/atom
data_ErMnPd6
_cell_length_a 4.027
_cell_length_b 4.027
_cell_length_c 7.999
_cell_angle_alpha 90.00
_cell_angle_beta 90.00
_cell_angle_gamma 90.00
_space_group_name_H-M_alt 'P 1'
_space_group_IT_number 1
_space_group_name_Hall 'P 1'
loop_
_atom_site_label
_atom_site_type_symbol
_atom_site_fract_x
_atom_site_fract_y
_atom_site_fract_z
Pd1 Pd 0.500 0.500 0.500
Er1 Er 0.000 0.000 0.000
Pd2 Pd 0.500 0.000 0.262
Pd3 Pd 0.000 0.500 0.262
Pd4 Pd 0.500 0.500 0.000
Pd5 Pd 0.000 0.500 0.738
Mn1 Mn 0.000 0.000 0.500
Pd6 Pd 0.500 0.000 0.738

***

[15]
# ErMnPd4 | Alexandria | PBE | optimized geometry
# * DOS(E_F): 1.54 states/eV per cell
# * space-group type: P4/mmm (123)
# * E_form: -0.296 eV/atom
data_ErMnPd4
_cell_length_a 3.947
_cell_length_b 3.947
_cell_length_c 7.523
_cell_angle_alpha 90.00
_cell_angle_beta 90.00
_cell_angle_gamma 90.00
_space_group_name_H-M_alt 'P 1'
_space_group_IT_number 1
_space_group_name_Hall 'P 1'
loop_
_atom_site_label
_atom_site_type_symbol
_atom_site_fract_x
_atom_site_fract_y
_atom_site_fract_z
Mn1 Mn 0.001 0.997 0.498
Pd1 Pd 0.001 0.497 0.725
Pd2 Pd 0.001 0.497 0.271
Pd3 Pd 0.501 0.997 0.271
Er1 Er 0.501 0.497 0.998
Pd4 Pd 0.501 0.997 0.725

***

[16]
# ErMnPdPt | Alexandria | PBE | optimized geometry
# * DOS(E_F): 2.24 states/eV per cell
# * space-group type: F-43m (216)
# * E_form: -0.689 eV/atom
data_ErMnPdPt
_cell_length_a 4.679
_cell_length_b 4.679
_cell_length_c 4.679
_cell_angle_alpha 60.00
_cell_angle_beta 60.00
_cell_angle_gamma 60.00
_space_group_name_H-M_alt 'P 1'
_space_group_IT_number 1
_space_group_name_Hall 'P 1'
loop_
_atom_site_label
_atom_site_type_symbol
_atom_site_fract_x
_atom_site_fract_y
_atom_site_fract_z
Mn1 Mn 0.000 0.000 0.000
Pt1 Pt 0.750 0.750 0.750
Pd1 Pd 0.250 0.250 0.250
Er1 Er 0.500 0.500 0.500

***

[17]
# ErMnPdRu | Alexandria | PBE | optimized geometry
# * DOS(E_F): 2.00 states/eV per cell
# * space-group type: F-43m (216)
# * E_form: -0.291 eV/atom
data_ErMnPdRu
_cell_length_a 4.587
_cell_length_b 4.587
_cell_length_c 4.587
_cell_angle_alpha 60.00
_cell_angle_beta 60.00
_cell_angle_gamma 60.00
_space_group_name_H-M_alt 'P 1'
_space_group_IT_number 1
_space_group_name_Hall 'P 1'
loop_
_atom_site_label
_atom_site_type_symbol
_atom_site_fract_x
_atom_site_fract_y
_atom_site_fract_z
Ru1 Ru 0.750 0.750 0.750
Pd1 Pd 0.250 0.250 0.250
Er1 Er 0.500 0.500 0.500
Mn1 Mn 0.000 0.000 0.000

***

[18]
# ErTmMnPd | Alexandria | PBE | optimized geometry
# * DOS(E_F): 4.96 states/eV per cell
# * space-group type: F-43m (216)
# * E_form: -0.306 eV/atom
data_ErTmMnPd
_cell_length_a 4.923
_cell_length_b 4.923
_cell_length_c 4.923
_cell_angle_alpha 60.00
_cell_angle_beta 60.00
_cell_angle_gamma 60.00
_space_group_name_H-M_alt 'P 1'
_space_group_IT_number 1
_space_group_name_Hall 'P 1'
loop_
_atom_site_label
_atom_site_type_symbol
_atom_site_fract_x
_atom_site_fract_y
_atom_site_fract_z
Mn1 Mn 0.500 0.500 0.500
Pd1 Pd 0.000 0.000 0.000
Tm1 Tm 0.750 0.750 0.750
Er1 Er 0.250 0.250 0.250

***

[19]
# YErMnPd | Alexandria | PBE | optimized geometry
# * DOS(E_F): 4.81 states/eV per cell
# * space-group type: F-43m (216)
# * E_form: -0.277 eV/atom
data_YErMnPd
_cell_length_a 4.970
_cell_length_b 4.970
_cell_length_c 4.970
_cell_angle_alpha 60.00
_cell_angle_beta 60.00
_cell_angle_gamma 60.00
_space_group_name_H-M_alt 'P 1'
_space_group_IT_number 1
_space_group_name_Hall 'P 1'
loop_
_atom_site_label
_atom_site_type_symbol
_atom_site_fract_x
_atom_site_fract_y
_atom_site_fract_z
Mn1 Mn 0.500 0.500 0.500
Er1 Er 0.750 0.750 0.750
Y1 Y 0.250 0.250 0.250
Pd1 Pd 0.000 0.000 0.000

***

[20]
# Er2MnZn2Pd5 | Alexandria | PBE | optimized geometry
# * DOS(E_F): 7.39 states/eV per cell
# * space-group type: P4/mbm (127)
# * E_form: -0.627 eV/atom
data_Er2MnZn2Pd5
_cell_length_a 3.770
_cell_length_b 9.589
_cell_length_c 9.589
_cell_angle_alpha 90.00
_cell_angle_beta 90.00
_cell_angle_gamma 90.00
_space_group_name_H-M_alt 'P 1'
_space_group_IT_number 1
_space_group_name_Hall 'P 1'
loop_
_atom_site_label
_atom_site_type_symbol
_atom_site_fract_x
_atom_site_fract_y
_atom_site_fract_z
Er1 Er 0.000 0.176 0.324
Zn1 Zn 0.000 0.878 0.378
Mn1 Mn 0.000 0.500 0.500
Zn2 Zn 0.000 0.122 0.622
Pd1 Pd 0.500 0.000 0.500
Er2 Er 0.000 0.824 0.676
Pd2 Pd 0.500 0.202 0.067
Zn3 Zn 0.000 0.622 0.878
Er3 Er 0.000 0.324 0.824
Mn2 Mn 0.000 0.000 0.000
Pd3 Pd 0.500 0.298 0.567
Er4 Er 0.000 0.676 0.176
Zn4 Zn 0.000 0.378 0.122
Pd4 Pd 0.500 0.798 0.933
Pd5 Pd 0.500 0.702 0.433
Pd6 Pd 0.500 0.433 0.298
Pd7 Pd 0.500 0.933 0.202
Pd8 Pd 0.500 0.567 0.702
Pd9 Pd 0.500 0.067 0.798
Pd10 Pd 0.500 0.500 0.000